1.
MgMn2Cd after structural relaxation, computed with PBE.

The structure in CIF format:
```
data_MgMn2Cd
_space_group_name_H-M_alt 'C m m m'
_space_group_IT_number 65
_space_group_name_Hall '-C 2 2'
_cell_length_a 5.8198
_cell_length_b 7.9627
_cell_length_c 2.9646
_cell_angle_alpha 90.00
_cell_angle_beta 90.00
_cell_angle_gamma 90.00
loop_
_atom_site_label
_atom_site_type_symbol
_atom_site_fract_x
_atom_site_fract_y
_atom_site_fract_z
Mg1 Mg 0.0000 0.0000 0.0000
Mn1 Mn 0.2500 0.2500 0.5000
Cd1 Cd 0.0000 0.5000 0.0000
```

Computed properties:
Calculated total energy: -0.18058 Ha/atom
M_tot: 13.7 Bohr magnetons per cell
DOS(E_F): 7.456 states/eV/cell
V: 137.4 Å³ per cell



2.
Mg2MnCd after structural relaxation, computed with PBE.

The structure in CIF format:
```
data_Mg2MnCd
_space_group_name_H-M_alt 'I -4 2 d'
_space_group_IT_number 122
_space_group_name_Hall 'I -4 2bw'
_cell_length_a 7.7311
_cell_length_b 7.7311
_cell_length_c 5.7234
_cell_angle_alpha 90.00
_cell_angle_beta 90.00
_cell_angle_gamma 90.00
loop_
_atom_site_label
_atom_site_type_symbol
_atom_site_fract_x
_atom_site_fract_y
_atom_site_fract_z
Mg1 Mg 0.2427 0.7500 0.1250
Mn1 Mn 0.0000 0.0000 0.0000
Cd1 Cd 0.0000 0.0000 0.5000
```

Computed properties:
Calculated total energy: -0.10654 Ha/atom
M_tot: 13.9 Bohr magnetons per cell
DOS(E_F): 9.869 states/eV/cell
V: 342.1 Å³ per cell



3.
MgMn2Cd after structural relaxation, computed with PBE.

The structure in CIF format:
```
data_MgMn2Cd
_space_group_name_H-M_alt 'P 4/m m m'
_space_group_IT_number 123
_space_group_name_Hall '-P 4 2'
_cell_length_a 2.9448
_cell_length_b 2.9448
_cell_length_c 7.8881
_cell_angle_alpha 90.00
_cell_angle_beta 90.00
_cell_angle_gamma 90.00
loop_
_atom_site_label
_atom_site_type_symbol
_atom_site_fract_x
_atom_site_fract_y
_atom_site_fract_z
Mg1 Mg 0.0000 0.0000 0.0000
Mn1 Mn 0.5000 0.5000 0.2480
Cd1 Cd 0.0000 0.0000 0.5000
```

Computed properties:
Calculated total energy: -0.17984 Ha/atom
M_tot: 6.6 Bohr magnetons per cell
DOS(E_F): 3.895 states/eV/cell
V: 68.4 Å³ per cell



4.
Mg2MnCd after structural relaxation, computed with PBE.

The structure in CIF format:
```
data_Mg2MnCd
_space_group_name_H-M_alt 'P m m m'
_space_group_IT_number 47
_cell_length_a 3.0382
_cell_length_b 3.0754
_cell_length_c 8.2196
_cell_angle_alpha 90.00
_cell_angle_beta 90.00
_cell_angle_gamma 90.00
loop_
_space_group_symop_operation_xyz
'x,y,z'
'-x,-y,-z'
'-x,-y,z'
'x,y,-z'
'x,-y,-z'
'-x,y,z'
'-x,y,-z'
'x,-y,z'
loop_
_atom_site_label
_atom_site_type_symbol
_atom_site_fract_x
_atom_site_fract_y
_atom_site_fract_z
Mg1 Mg 0.0000 0.0000 0.2248
Mn1 Mn 0.5000 0.5000 0.0000
Cd1 Cd 0.5000 0.5000 0.5000
```

Computed properties:
Calculated total energy: -0.11812 Ha/atom
M_tot: 3.2 Bohr magnetons per cell
DOS(E_F): 3.057 states/eV/cell
V: 76.8 Å³ per cell



Q: What is the formula in the second record?
A: Mg2MnCd